Record 1
This record from OQMD via LeMat-Bulk describes crystalline CdCoBiPd at its relaxed geometry. The functional is PBE.

Results
Crystal system   cubic
Space group   F-43m, No. 216

a b c (Å): 4.688 4.688 4.688
angles (deg): 60.00 60.00 60.00
Positions (direct):
1 Bi 0.000 0.000 0.000
2 Co 0.750 0.750 0.750
3 Cd 0.500 0.500 0.500
4 Pd 0.250 0.250 0.250

Record 2
This record from OQMD via LeMat-Bulk describes crystalline CdCoBiPt at its relaxed geometry. The functional is PBE.

Results
Crystal system   cubic
Space group   F-43m, No. 216

a b c (Å): 4.717 4.717 4.717
angles (deg): 60.00 60.00 60.00
Positions (direct):
1 Co 0.750 0.750 0.750
2 Bi 0.000 0.000 0.000
3 Cd 0.500 0.500 0.500
4 Pt 0.250 0.250 0.250

Number 1: relative energy among the computed polymorphs 0.0 meV/atom. Number 2: relative energy among the computed polymorphs 0.0 meV/atom.